a | Entry from Alexandria: a relaxed PrNdEr crystal (PBE-GGA).

Cell lengths 3.5351, 5.7549, 5.7549 Å; angles 120.00, 90.00, 90.00 degrees
Closest atoms and distances in Å follow each position.
Element x y z (fractional)
Nd 0.1659 0.0000 0.0000  3 Er 3.32, 2 Nd 3.54
Pr 0.6666 0.6667 0.3333  2 Pr 3.54, 6 Er 3.76-3.77, 6 Nd 3.76
Er 0.1675 0.3333 0.6667  3 Nd 3.32, 2 Er 3.54

Results
- calculated density (g/cm³) = 7.4
- symmetry = P-6m2 (187)
- DOS at the Fermi energy (states/eV per atom) = 1.40

---

b | Entry from Alexandria: a relaxed PrNdEr crystal (PBE-GGA).

Cell lengths 3.4947, 8.2968, 8.2968 Å; angles 89.11, 90.00, 90.00 degrees
Closest atoms and distances in Å follow each position.
Element x y z (fractional)
Nd 0.5000 0.5000 0.5000  2 Er 3.07, 4 Pr 3.31
Nd 0.0000 0.0000 0.0000  2 Pr 3.10, 4 Er 3.26
Pr 0.0000 0.7378 0.7378  3 Nd 3.10-3.31
Pr 0.0000 0.2622 0.2622  3 Nd 3.10-3.31
Er 0.5000 0.7639 0.2361  3 Nd 3.07-3.26
Er 0.5000 0.2361 0.7639  3 Nd 3.07-3.26

Results
- calculated density (g/cm³) = 6.2
- symmetry = Cmmm (65)
- DOS at the Fermi energy (states/eV per atom) = 1.56

---

So which one is most stable? That would be a, about 591 meV per atom below the next structure.

---

a | Entry from Alexandria: a relaxed Pr7Nd3Er2 crystal (PBE-GGA).

Cell lengths 3.6260, 6.5812, 17.7877 Å; angles 90.26, 90.00, 90.00 degrees
Closest atoms and distances in Å follow each position.
Element x y z (fractional)
Nd 0.0000 0.0005 0.3384  2 Nd 3.63, 7 Pr 3.67-3.84, 4 Er 3.71-3.81
Nd 0.0000 0.9995 0.6616  2 Nd 3.63, 7 Pr 3.67-3.84, 4 Er 3.71-3.81
Nd 0.5000 0.5000 0.0000  2 Nd 3.63, 10 Pr 3.69-3.76
Pr 0.0000 0.0000 0.0000  8 Pr 3.63-3.71, 4 Nd 3.76
Pr 0.0000 0.3230 0.8311  2 Er 3.57, 7 Pr 3.63-3.77, 3 Nd 3.68-3.69
Pr 0.5000 0.8203 0.8305  1 Er 3.59, 8 Pr 3.63-3.77, 3 Nd 3.69-3.71
Pr 0.0000 0.6770 0.1689  2 Er 3.57, 7 Pr 3.63-3.77, 3 Nd 3.68-3.69
Pr 0.5000 0.1797 0.1695  1 Er 3.59, 8 Pr 3.63-3.77, 3 Nd 3.69-3.71
Pr 0.5000 0.2429 0.4945  2 Pr 3.20-3.39, 2 Er 3.41-3.51
Pr 0.5000 0.7571 0.5055  2 Pr 3.20-3.39, 2 Er 3.41-3.51
Er 0.5000 0.5099 0.3304  5 Pr 3.41-3.59, 2 Er 3.63, 4 Nd 3.71-3.81
Er 0.5000 0.4901 0.6696  5 Pr 3.41-3.59, 2 Er 3.63, 4 Nd 3.71-3.81

Results
- calculated density (g/cm³) = 6.9
- symmetry = P2/m (10)
- DOS at the Fermi energy (states/eV per atom) = 1.53

---

b | Entry from Alexandria: a relaxed Pr7Nd3Er2 crystal (PBE-GGA).

Cell lengths 3.6450, 6.0038, 19.9863 Å; angles 104.18, 90.00, 90.00 degrees
Closest atoms and distances in Å follow each position.
Element x y z (fractional)
Pr 0.5000 0.2784 0.5352  1 Er 3.26, 4 Pr 3.29-3.65
Pr 0.5000 0.0001 0.1831  6 Pr 3.56-3.65, 2 Er 3.70-3.74, 2 Nd 3.98
Pr 0.5000 0.7216 0.4648  1 Er 3.26, 4 Pr 3.29-3.65
Pr 0.0000 0.4656 0.1465  2 Er 3.43, 2 Nd 3.50, 7 Pr 3.52-3.65
Pr 0.5000 0.9999 0.8169  6 Pr 3.56-3.65, 2 Er 3.70-3.74, 2 Nd 3.98
Pr 0.0000 0.5344 0.8535  2 Er 3.43, 2 Nd 3.50, 7 Pr 3.52-3.65
Pr 0.0000 0.0000 0.0000  4 Nd 3.51, 4 Pr 3.52-3.65
Er 0.5000 0.5883 0.2965  3 Pr 3.26-3.43, 2 Er 3.65
Er 0.5000 0.4117 0.7035  3 Pr 3.26-3.43, 2 Er 3.65
Nd 0.0000 0.8514 0.6341  2 Nd 3.65, 4 Er 3.74-3.78, 8 Pr 3.75-4.03
Nd 0.5000 0.5000 0.0000  8 Pr 3.50-3.51, 2 Nd 3.65
Nd 0.0000 0.1486 0.3659  2 Nd 3.65, 4 Er 3.74-3.78, 8 Pr 3.75-4.03

Results
- calculated density (g/cm³) = 6.9
- symmetry = P2/m (10)
- DOS at the Fermi energy (states/eV per atom) = 1.40

---

So which one is most stable? That would be a, about 11 meV per atom below the next structure.